No. 1
Material: Rb2CaClF6
Method: DFT, GGA-PBE
State: relaxed

Cell and atoms, written as extended XYZ:
```
10
Lattice="-3.047 3.047 5.340 3.047 -3.047 5.340 3.047 3.047 -5.340" Properties=species:S:1:pos:R:3 pbc="T T T"
Rb 3.047 0.000 2.670
Rb 0.000 3.047 2.670
Ca 0.000 0.000 0.000
Cl 0.000 0.000 5.340
F 0.000 0.000 2.197
F 1.592 1.592 0.000
F 1.456 -1.456 5.340
F -1.456 1.456 5.340
F 1.456 1.456 5.340
F 0.000 0.000 8.483
```

The space-group type is I4/mmm (139). As for the crystal system: tetragonal. Its theoretical density is 3.018 Mg/m³. The calculation puts the uncorrected formation energy at -2.270 eV per atom.

=====

No. 2
Material: Pm3TlF10
Method: DFT, GGA-PBE
State: relaxed

Cell and atoms, written as extended XYZ:
```
28
Lattice="0.000 6.041 6.041 6.041 0.000 6.041 6.041 6.041 0.000" Properties=species:S:1:pos:R:3 pbc="T T T"
Pm 6.041 6.041 2.904
Pm 6.041 2.904 6.041
Pm 9.178 6.041 6.041
Pm 2.904 6.041 6.041
Pm 6.041 9.178 6.041
Pm 6.041 6.041 9.178
Tl 3.021 3.021 3.021
Tl 9.062 9.062 9.062
F 1.335 1.335 1.335
F 4.706 4.706 1.335
F 4.706 1.335 4.706
F 6.041 4.051 4.051
F 8.032 6.041 4.051
F 8.032 4.051 6.041
F 10.747 7.377 7.377
F 4.051 6.041 4.051
F 6.041 8.032 4.051
F 4.051 4.051 6.041
F 8.032 8.032 6.041
F 6.041 4.051 8.032
F 8.032 6.041 8.032
F 1.335 4.706 4.706
F 4.051 8.032 6.041
F 4.051 6.041 8.032
F 6.041 8.032 8.032
F 7.377 10.747 7.377
F 7.377 7.377 10.747
F 10.747 10.747 10.747
```

The space-group type is Fm-3m (225). As for the crystal system: cubic. Its theoretical density is 6.246 Mg/m³. The calculation puts the uncorrected formation energy at -3.800 eV per atom.